Run 1
DFT (PBE) results for a relaxed structure of SrCaAl2Co.

density of states at the Fermi level: 6.8 states/eV/cell

Cell lengths 5.7057, 5.7057, 4.8627 Å; angles 90.00, 90.00, 90.00 degrees
Closest atoms and distances in Å follow each position.
Space group P4/mmm (No. 123)
Inequivalent atoms, fractional coordinates:
Sr: 0.0000 0.0000 0.0000  2 Co 2.43
Ca: 0.5000 0.5000 0.5000  8 Al 3.75, 4 Co 4.03
Al: 0.0000 0.5000 0.0000  2 Sr 2.85
Co: 0.0000 0.0000 0.5000  2 Sr 2.43

=====

Run 2
DFT (PBE) results for a relaxed structure of SrCaAl2Co.

density of states at the Fermi level: 3.4 states/eV/cell

Cell lengths 4.7709, 4.7709, 5.1223 Å; angles 90.00, 90.00, 90.00 degrees
Closest atoms and distances in Å follow each position.
Space group P4/mmm (No. 123)
Inequivalent atoms, fractional coordinates:
Sr: 0.0000 0.0000 0.0000  4 Ca 3.37, 8 Al 3.50
Ca: 0.5000 0.5000 0.0000  2 Co 2.56
Al: 0.0000 0.5000 0.5000  2 Co 2.39
Co: 0.5000 0.5000 0.5000  4 Al 2.39, 2 Ca 2.56

=====

Top of the stability list: run 2, leading by 1273 meV/atom.

=====

Run 1
DFT (PBE) results for a relaxed structure of CsCaAl3.

density of states at the Fermi level: 4.0 states/eV/cell

Cell lengths 5.7774, 5.7774, 5.7774 Å; angles 90.00, 90.00, 90.00 degrees
Closest atoms and distances in Å follow each position.
Space group Pm-3m (No. 221)
Inequivalent atoms, fractional coordinates:
Cs: 0.0000 0.0000 0.0000  6 Al 2.89
Ca: 0.5000 0.5000 0.5000  12 Al 4.09
Al: 0.0000 0.0000 0.5000  2 Cs 2.89

=====

Run 2
DFT (PBE) results for a relaxed structure of CsCaAl3.

density of states at the Fermi level: 7.9 states/eV/cell

Cell lengths 5.9357, 5.9357, 5.9357 Å; angles 90.00, 90.00, 90.00 degrees
Closest atoms and distances in Å follow each position.
Space group Pm-3m (No. 221)
Inequivalent atoms, fractional coordinates:
Cs: 0.0000 0.0000 0.0000  12 Al 4.20
Ca: 0.5000 0.5000 0.5000  6 Al 2.97
Al: 0.0000 0.5000 0.5000  2 Ca 2.97

=====

Top of the stability list: run 2, leading by 551 meV/atom.

=====

Run 1
DFT (PBE) results for a relaxed structure of CaAlCu3.

density of states at the Fermi level: 2.6 states/eV/cell

Cell lengths 4.1874, 4.1874, 10.0081 Å; angles 90.00, 90.00, 90.00 degrees
Closest atoms and distances in Å follow each position.
Space group I4mm (No. 107)
Inequivalent atoms, fractional coordinates:
Ca: 0.0000 0.0000 0.0000  12 Cu 3.16-3.32, 4 Al 3.23
Al: 0.0000 0.0000 0.6300  5 Cu 2.42-2.45
Cu: 0.0000 0.0000 0.3884  1 Al 2.42, 4 Cu 2.47
Cu: 0.0000 0.5000 0.2574  2 Al 2.45, 2 Cu 2.47

=====

Run 2
DFT (PBE) results for a relaxed structure of CaAlCu3.

density of states at the Fermi level: 2.0 states/eV/cell

Cell lengths 4.6089, 4.6089, 4.6089 Å; angles 90.00, 90.00, 90.00 degrees
Closest atoms and distances in Å follow each position.
Space group Pm-3m (No. 221)
Inequivalent atoms, fractional coordinates:
Ca: 0.0000 0.0000 0.0000  12 Cu 3.26
Al: 0.5000 0.5000 0.5000  6 Cu 2.30
Cu: 0.0000 0.5000 0.5000  2 Al 2.30

=====

Run 3
DFT (PBE) results for a relaxed structure of CaAlCu3.

density of states at the Fermi level: 2.2 states/eV/cell

Cell lengths 5.0408, 5.0408, 5.0408 Å; angles 90.00, 90.00, 90.00 degrees
Closest atoms and distances in Å follow each position.
Space group Pm-3m (No. 221)
Inequivalent atoms, fractional coordinates:
Ca: 0.0000 0.0000 0.0000  6 Cu 2.52
Al: 0.5000 0.5000 0.5000  12 Cu 3.56
Cu: 0.0000 0.0000 0.5000  2 Ca 2.52

=====

Top of the stability list: run 1, leading by 252 meV/atom.

=====

Run 1
DFT (PBE) results for a relaxed structure of Ca2Al2Cu.

density of states at the Fermi level: 6.7 states/eV/cell

Cell lengths 4.3956, 5.4255, 9.7779 Å; angles 90.00, 90.00, 90.00 degrees
Closest atoms and distances in Å follow each position.
Space group Immm (No. 71)
Inequivalent atoms, fractional coordinates:
Ca: 0.0000 0.0000 0.1936  6 Al 3.22-3.28, 2 Cu 3.31
Al: 0.0000 0.2439 0.5000  2 Cu 2.57, 2 Al 2.65-2.78
Cu: 0.0000 0.5000 0.0000  4 Al 2.57

=====

Run 2
DFT (PBE) results for a relaxed structure of Ca2Al2Cu.

density of states at the Fermi level: 8.7 states/eV/cell

Cell lengths 6.8538, 6.8538, 4.9728 Å; angles 90.00, 90.00, 90.00 degrees
Closest atoms and distances in Å follow each position.
Space group P4/mbm (No. 127)
Inequivalent atoms, fractional coordinates:
Ca: 0.1720 0.3280 0.0000  6 Al 3.09-3.28, 1 Ca 3.34
Al: 0.1386 0.6386 0.5000  2 Cu 2.65, 1 Al 2.69
Cu: 0.0000 0.0000 0.5000  4 Al 2.65

=====

Top of the stability list: run 1, leading by 117 meV/atom.